Record 1
DFT (PBEsol) results for a relaxed structure of Ba3In2.

a = 5.8362 Å, b = 5.8362 Å, c = 7.2721 Å
α = 90.00°, β = 90.00°, γ = 120.00°
Atoms (fractional coordinates):
Ba1 0.0000 0.0000 0.0000
Ba2 0.3333 0.6667 0.3424
Ba3 0.6667 0.3333 0.6576
In1 0.3333 0.6667 0.8589
In2 0.6667 0.3333 0.1411

Computed properties:
**ΔE_f**: -0.302 eV/atom
**Magnetic moment**: 0.0 Bohr magnetons per cell
**DOS(E_F)**: 4.3 states/eV/f.u.

***

Record 2
DFT (PBEsol) results for a relaxed structure of BaIn9Ir2.

a = 8.8709 Å, b = 8.8709 Å, c = 4.2523 Å
α = 90.00°, β = 90.00°, γ = 120.00°
Atoms (fractional coordinates):
Ba1 0.0000 0.0000 0.0000
In1 0.0000 0.5000 0.0000
In2 0.2064 0.4128 0.5000
In3 0.2064 0.7936 0.5000
In4 0.4128 0.2064 0.5000
In5 0.5000 0.0000 0.0000
In6 0.5000 0.5000 0.0000
In7 0.5872 0.7936 0.5000
In8 0.7936 0.2064 0.5000
In9 0.7936 0.5872 0.5000
Ir1 0.3333 0.6667 0.0000
Ir2 0.6667 0.3333 0.0000

Computed properties:
**ΔE_f**: -0.290 eV/atom
**Magnetic moment**: 0.0 Bohr magnetons per cell
**DOS(E_F)**: 2.0 states/eV/f.u.

***

Record 3
DFT (PBEsol) results for a relaxed structure of BaIn3Ir.

a = 5.1517 Å, b = 5.1517 Å, c = 5.1517 Å
α = 90.00°, β = 90.00°, γ = 90.00°
Atoms (fractional coordinates):
Ba1 0.0000 0.0000 0.0000
In1 0.0000 0.5000 0.5000
In2 0.5000 0.0000 0.5000
In3 0.5000 0.5000 0.0000
Ir1 0.5000 0.5000 0.5000

Computed properties:
**ΔE_f**: -0.327 eV/atom
**Magnetic moment**: 0.0 Bohr magnetons per cell
**DOS(E_F)**: 1.7 states/eV/f.u.

***

Record 4
DFT (PBEsol) results for a relaxed structure of BaIn2Ir.

a = 6.1311 Å, b = 6.1311 Å, c = 8.0539 Å
α = 90.00°, β = 90.00°, γ = 138.04°
Atoms (fractional coordinates):
Ba1 0.0549 0.9451 0.7500
Ba2 0.9451 0.0549 0.2500
In1 0.3374 0.6626 0.5548
In2 0.3374 0.6626 0.9452
In3 0.6626 0.3374 0.0548
In4 0.6626 0.3374 0.4452
Ir1 0.2189 0.7811 0.2500
Ir2 0.7811 0.2189 0.7500

Computed properties:
**ΔE_f**: -0.374 eV/atom
**Magnetic moment**: 0.0 Bohr magnetons per cell
**DOS(E_F)**: 2.0 states/eV/f.u.

***

Record 5
DFT (PBEsol) results for a relaxed structure of Ba2InIr.

a = 4.8489 Å, b = 4.8489 Å, c = 8.6100 Å
α = 105.03°, β = 105.03°, γ = 52.44°
Atoms (fractional coordinates):
Ba1 0.0000 0.0000 0.0000
Ba2 0.1463 0.1463 0.5155
In1 0.3783 0.3783 0.2576
Ir1 0.6880 0.6880 0.2586

Computed properties:
**ΔE_f**: -0.226 eV/atom
**Magnetic moment**: 0.0 Bohr magnetons per cell
**DOS(E_F)**: 3.5 states/eV/f.u.

***

Record 6
DFT (PBEsol) results for a relaxed structure of BaInIr2.

a = 3.4130 Å, b = 3.4130 Å, c = 7.7541 Å
α = 90.00°, β = 90.00°, γ = 90.00°
Atoms (fractional coordinates):
Ba1 0.0000 0.0000 0.0000
In1 0.5000 0.5000 0.3437
Ir1 0.0000 0.0000 0.5748
Ir2 0.5000 0.5000 0.6930

Computed properties:
**ΔE_f**: 0.222 eV/atom
**Magnetic moment**: 0.7 Bohr magnetons per cell
**DOS(E_F)**: 5.5 states/eV/f.u.

***

Record 7
DFT (PBEsol) results for a relaxed structure of BaIn2Ir.

a = 5.9548 Å, b = 5.9548 Å, c = 3.1466 Å
α = 90.00°, β = 90.00°, γ = 119.98°
Atoms (fractional coordinates):
Ba1 0.0000 0.0000 0.0000
In1 0.0000 0.5000 0.5000
In2 0.5000 0.0000 0.5000
Ir1 0.5000 0.5000 0.0000

Computed properties:
**ΔE_f**: 0.401 eV/atom
**Magnetic moment**: 0.0 Bohr magnetons per cell
**DOS(E_F)**: 3.2 states/eV/f.u.

***

Record 8
DFT (PBEsol) results for a relaxed structure of BaIn2Ir.

a = 5.1419 Å, b = 5.1419 Å, c = 5.1419 Å
α = 60.00°, β = 60.00°, γ = 60.00°
Atoms (fractional coordinates):
Ba1 0.0000 0.0000 0.0000
In1 0.2500 0.2500 0.2500
In2 0.5000 0.5000 0.5000
Ir1 0.7500 0.7500 0.7500

Computed properties:
**ΔE_f**: 0.186 eV/atom
**Magnetic moment**: 0.0 Bohr magnetons per cell
**DOS(E_F)**: 2.6 states/eV/f.u.

***

Record 9
DFT (PBEsol) results for a relaxed structure of BaIn2Ir.

a = 6.4887 Å, b = 6.4887 Å, c = 6.4887 Å
α = 41.92°, β = 41.92°, γ = 41.92°
Atoms (fractional coordinates):
Ba1 0.0000 0.0000 0.0000
In1 0.2025 0.2025 0.2025
In2 0.4608 0.4608 0.4608
Ir1 0.8170 0.8170 0.8170

Computed properties:
**ΔE_f**: -0.272 eV/atom
**Magnetic moment**: 0.0 Bohr magnetons per cell
**DOS(E_F)**: 2.6 states/eV/f.u.

***

Record 10
DFT (PBEsol) results for a relaxed structure of BaIn4Ir.

a = 8.5706 Å, b = 4.3974 Å, c = 7.8674 Å
α = 90.00°, β = 90.00°, γ = 90.00°
Atoms (fractional coordinates):
Ba1 0.2500 0.0000 0.1099
Ba2 0.7500 0.0000 0.8901
In1 0.0000 0.0000 0.5000
In2 0.0680 0.5000 0.8010
In3 0.2500 0.5000 0.4464
In4 0.4320 0.5000 0.8010
In5 0.5000 0.0000 0.5000
In6 0.5680 0.5000 0.1990
In7 0.7500 0.5000 0.5536
In8 0.9320 0.5000 0.1990
Ir1 0.2500 0.0000 0.6870
Ir2 0.7500 0.0000 0.3130

Computed properties:
**ΔE_f**: -0.380 eV/atom
**Magnetic moment**: 0.0 Bohr magnetons per cell
**DOS(E_F)**: 2.1 states/eV/f.u.

***

Record 11
DFT (PBEsol) results for a relaxed structure of BaInIr2.

a = 4.5596 Å, b = 4.5596 Å, c = 3.8872 Å
α = 90.00°, β = 90.00°, γ = 90.00°
Atoms (fractional coordinates):
Ba1 0.0000 0.0000 0.0000
In1 0.5000 0.5000 0.0000
Ir1 0.0000 0.5000 0.5000
Ir2 0.5000 0.0000 0.5000

Computed properties:
**ΔE_f**: 0.473 eV/atom
**Magnetic moment**: 0.0 Bohr magnetons per cell
**DOS(E_F)**: 2.5 states/eV/f.u.

***

Record 12
DFT (PBEsol) results for a relaxed structure of BaIn2Ir2.

a = 6.3956 Å, b = 6.3956 Å, c = 6.3956 Å
α = 138.29°, β = 138.29°, γ = 60.46°
Atoms (fractional coordinates):
Ba1 0.0000 0.0000 0.0000
In1 0.2500 0.7500 0.5000
In2 0.7500 0.2500 0.5000
Ir1 0.3899 0.3899 0.0000
Ir2 0.6101 0.6101 0.0000

Computed properties:
**ΔE_f**: -0.247 eV/atom
**Magnetic moment**: 0.0 Bohr magnetons per cell
**DOS(E_F)**: 2.5 states/eV/f.u.

***

Record 13
DFT (PBEsol) results for a relaxed structure of K2BaInIr.

a = 6.0734 Å, b = 6.0734 Å, c = 5.5918 Å
α = 90.00°, β = 90.00°, γ = 90.00°
Atoms (fractional coordinates):
K1 0.0000 0.5000 0.0000
K2 0.5000 0.0000 0.0000
Ba1 0.0000 0.0000 0.5000
In1 0.5000 0.5000 0.5000
Ir1 0.0000 0.0000 0.0000

Computed properties:
**ΔE_f**: 0.547 eV/atom
**Magnetic moment**: 0.0 Bohr magnetons per cell
**DOS(E_F)**: 5.8 states/eV/f.u.

***

Record 14
DFT (PBEsol) results for a relaxed structure of KBa2In.

a = 4.2470 Å, b = 4.2467 Å, c = 11.0360 Å
α = 90.00°, β = 90.09°, γ = 90.00°
Atoms (fractional coordinates):
K1 0.0000 0.0000 0.0000
Ba1 0.4992 0.5000 0.3250
Ba2 0.5008 0.5000 0.6750
In1 0.0000 0.0000 0.5000

Computed properties:
**ΔE_f**: -0.222 eV/atom
**Magnetic moment**: 0.0 Bohr magnetons per cell
**DOS(E_F)**: 2.8 states/eV/f.u.

***

Record 15
DFT (PBEsol) results for a relaxed structure of KBaIn4.

a = 6.2911 Å, b = 6.2911 Å, c = 6.2911 Å
α = 60.00°, β = 60.00°, γ = 60.00°
Atoms (fractional coordinates):
K1 0.0000 0.0000 0.0000
Ba1 0.7500 0.7500 0.7500
In1 0.3751 0.3751 0.3751
In2 0.3751 0.3751 0.8746
In3 0.3751 0.8746 0.3751
In4 0.8746 0.3751 0.3751

Computed properties:
**ΔE_f**: -0.304 eV/atom
**Magnetic moment**: 0.0 Bohr magnetons per cell
**DOS(E_F)**: 2.8 states/eV/f.u.

***

Record 16
DFT (PBEsol) results for a relaxed structure of KBa2In.

a = 6.0764 Å, b = 6.0764 Å, c = 4.6634 Å
α = 90.00°, β = 90.00°, γ = 90.00°
Atoms (fractional coordinates):
K1 0.0000 0.0000 0.0000
Ba1 0.0000 0.5000 0.5000
Ba2 0.5000 0.0000 0.5000
In1 0.5000 0.5000 0.0000

Computed properties:
**ΔE_f**: -0.060 eV/atom
**Magnetic moment**: 0.5 Bohr magnetons per cell
**DOS(E_F)**: 4.8 states/eV/f.u.

***

Record 17
DFT (PBEsol) results for a relaxed structure of K2BaIn.

a = 4.2739 Å, b = 4.2739 Å, c = 11.0848 Å
α = 90.00°, β = 90.00°, γ = 90.00°
Atoms (fractional coordinates):
K1 0.0000 0.0000 0.0000
K2 0.5000 0.5000 0.3259
Ba1 0.0000 0.0000 0.6395
In1 0.5000 0.5000 0.7996

Computed properties:
**ΔE_f**: -0.090 eV/atom
**Magnetic moment**: 0.0 Bohr magnetons per cell
**DOS(E_F)**: 3.3 states/eV/f.u.

***

Record 18
DFT (PBEsol) results for a relaxed structure of KBa2In.

a = 4.2624 Å, b = 4.2624 Å, c = 10.7534 Å
α = 90.00°, β = 90.00°, γ = 90.00°
Atoms (fractional coordinates):
K1 0.0000 0.0000 0.0000
Ba1 0.0000 0.0000 0.3715
Ba2 0.5000 0.5000 0.6736
In1 0.5000 0.5000 0.2024

Computed properties:
**ΔE_f**: -0.042 eV/atom
**Magnetic moment**: 0.0 Bohr magnetons per cell
**DOS(E_F)**: 4.9 states/eV/f.u.

***

Record 19
DFT (PBEsol) results for a relaxed structure of BaLa2In.

a = 3.7640 Å, b = 4.5864 Å, c = 8.0154 Å
α = 90.00°, β = 90.00°, γ = 90.00°
Atoms (fractional coordinates):
Ba1 0.0000 0.0000 0.0000
La1 0.5000 0.5000 0.3033
La2 0.5000 0.5000 0.6967
In1 0.0000 0.0000 0.5000

Computed properties:
**ΔE_f**: -0.173 eV/atom
**Magnetic moment**: 0.0 Bohr magnetons per cell
**DOS(E_F)**: 5.0 states/eV/f.u.

***

Record 20
DFT (PBEsol) results for a relaxed structure of BaLaIn2.

a = 5.9854 Å, b = 5.9854 Å, c = 3.6253 Å
α = 90.00°, β = 90.00°, γ = 102.90°
Atoms (fractional coordinates):
Ba1 0.0000 0.0000 0.0000
La1 0.5000 0.5000 0.0000
In1 0.0000 0.5000 0.5000
In2 0.5000 0.0000 0.5000

Computed properties:
**ΔE_f**: -0.401 eV/atom
**Magnetic moment**: 0.0 Bohr magnetons per cell
**DOS(E_F)**: 3.7 states/eV/f.u.